{"formula": "CrBiIO2", "functional": "PBE with a Hubbard U", "state": "optimized geometry", "final_energy_ev_per_atom": -4.85, "lattice_angstrom": [[-0.881, 2.474, 3.381], [-0.085, -3.465, 2.513], [6.647, 0.714, 1.210]], "species": ["Bi", "O", "O", "I", "Cr"], "fractional_positions": [[0.000, 0.000, 0.000], [0.500, 0.000, 0.000], [0.000, 0.500, 0.000], [0.000, 0.000, 0.500], [0.500, 0.500, 0.500]]}